A relaxed Al2NiO4 crystal. Source: Alexandria via LeMat-Bulk, functional PBE with a Hubbard U.

Values from the calculation:
calculated total energy	-6.73	eV/atom
Fermi-level density of states	0.00	states/eV/f.u.

abc: 5.758 5.758 23.567
angles: 97.02 97.02 60.08
Fractional coordinates of all 70 atoms:
Al1 0.000 0.000 0.000
Al2 0.063 0.572 0.727
Al3 0.126 0.126 0.451
Al4 0.158 0.654 0.525
Al5 0.191 0.191 0.603
Al6 0.260 0.760 0.326
Al7 0.270 0.270 0.829
Al8 0.339 0.339 0.054
Al9 0.366 0.866 0.127
Al10 0.394 0.394 0.200
Al11 0.470 0.975 0.928
Al12 0.572 0.063 0.727
Al13 0.600 0.600 0.803
Al14 0.654 0.158 0.525
Al15 0.732 0.732 0.253
Al16 0.760 0.260 0.326
Al17 0.788 0.788 0.399
Al18 0.863 0.863 0.629
Al19 0.866 0.366 0.127
Al20 0.975 0.470 0.928
Ni1 0.063 0.063 0.227
Ni2 0.064 0.064 0.727
Ni3 0.260 0.260 0.326
Ni4 0.457 0.457 0.426
Ni5 0.470 0.470 0.928
Ni6 0.536 0.536 0.650
Ni7 0.655 0.655 0.526
Ni8 0.669 0.669 0.027
Ni9 0.866 0.866 0.127
Ni10 0.945 0.945 0.854
O1 0.001 0.001 0.576
O2 0.009 0.506 0.081
O3 0.009 0.531 0.577
O4 0.026 0.026 0.079
O5 0.100 0.100 0.373
O6 0.117 0.621 0.373
O7 0.125 0.582 0.878
O8 0.142 0.142 0.881
O9 0.178 0.716 0.677
O10 0.211 0.211 0.173
O11 0.225 0.225 0.681
O12 0.227 0.723 0.174
O13 0.293 0.802 0.479
O14 0.305 0.305 0.479
O15 0.314 0.314 0.977
O16 0.328 0.833 0.974
O17 0.405 0.899 0.280
O18 0.411 0.411 0.776
O19 0.419 0.940 0.778
O20 0.420 0.420 0.279
O21 0.490 0.490 0.566
O22 0.506 0.009 0.081
O23 0.522 0.522 0.081
O24 0.531 0.009 0.577
O25 0.582 0.125 0.878
O26 0.606 0.606 0.373
O27 0.621 0.117 0.373
O28 0.630 0.630 0.880
O29 0.707 0.707 0.175
O30 0.716 0.178 0.677
O31 0.723 0.227 0.174
O32 0.731 0.731 0.680
O33 0.802 0.293 0.479
O34 0.816 0.816 0.479
O35 0.818 0.818 0.972
O36 0.833 0.328 0.974
O37 0.899 0.405 0.280
O38 0.903 0.903 0.770
O39 0.915 0.915 0.280
O40 0.940 0.419 0.778